# 1
First-principles (PBE) data for a relaxed structure of Zr4C3O, as listed in Alexandria.

Geometry as POSCAR:
```
Zr4C3O
1.0
3.338 -4.698 0.000
3.338 4.698 0.000
0.000 0.000 3.319
Zr C O
4 3 1
Cartesian
1.593 0.000 1.660 Zr
3.338 2.378 0.000 Zr
3.338 -2.378 0.000 Zr
5.083 0.000 1.660 Zr
0.000 0.000 0.000 C
1.669 2.349 1.660 C
1.669 -2.349 1.660 C
3.338 0.000 0.000 O
```

## Properties
* E: -9.661 eV/atom
* raw formation energy: -1.31 eV/atom



# 2
First-principles (PBE) data for a relaxed structure of Cd2Cu, as listed in Alexandria.

Geometry as POSCAR:
```
Cd2Cu
1.0
-1.509 1.509 12.611
1.509 -1.509 12.611
1.509 1.509 -12.611
Cd Cu
4 2
Cartesian
1.509 0.755 1.333 Cd
1.509 0.755 4.973 Cd
0.000 0.755 7.639 Cd
0.000 0.755 11.278 Cd
1.509 -0.755 9.458 Cu
0.000 2.264 3.153 Cu
```

## Properties
* E: -1.905 eV/atom



# 3
First-principles (PBE) data for a relaxed structure of Nd5Pd2Rh2, as listed in Alexandria.

Geometry as POSCAR:
```
Nd5Pd2Rh2
1.0
-8.825 3.551 3.743
8.825 -3.551 3.743
8.825 3.551 -3.743
Nd Pd Rh
10 4 4
Cartesian
1.230 1.263 0.000 Nd
7.596 1.263 0.000 Nd
11.506 2.353 -1.122 Nd
6.145 -1.198 2.621 Nd
2.681 4.750 -1.122 Nd
-2.681 1.198 2.621 Nd
4.413 2.598 1.676 Nd
1.230 2.288 3.743 Nd
7.596 2.288 3.743 Nd
4.413 0.954 5.419 Nd
-1.305 3.197 1.237 Pd
1.305 -0.355 4.979 Pd
1.305 3.906 1.237 Pd
7.521 3.906 1.237 Pd
4.413 -0.129 0.485 Rh
13.238 0.129 0.485 Rh
0.000 0.000 2.264 Rh
8.825 0.000 2.264 Rh
```

## Properties
* energy above the lowest structure with this stoichiometry: 60 meV per atom
* E: -6.042 eV/atom



# 4
First-principles (PBE) data for a relaxed structure of Na3Pb2Au2, as listed in Alexandria.

Geometry as POSCAR:
```
Na3Pb2Au2
1.0
4.417 -2.523 0.000
4.417 2.523 0.000
-2.867 0.000 7.729
Na Pb Au
3 2 2
Cartesian
0.000 0.000 0.000 Na
0.031 0.000 3.205 Na
5.936 0.000 4.524 Na
2.955 0.000 1.651 Pb
3.013 0.000 6.079 Pb
0.084 0.000 6.220 Au
5.884 0.000 1.509 Au
```

## Properties
* E: -2.828 eV/atom



# 5
First-principles (PBE) data for a relaxed structure of Rb2CuS, as listed in Alexandria.

Geometry as POSCAR:
```
Rb2CuS
1.0
9.257 -2.154 0.000
9.257 2.154 0.000
-2.528 0.000 9.333
Rb Cu S
4 2 2
Cartesian
2.207 0.004 0.600 Rb
0.943 -0.004 5.266 Rb
15.044 0.004 4.067 Rb
13.780 -0.004 8.733 Rb
7.362 0.029 7.000 Cu
8.625 -0.029 2.333 Cu
8.625 2.125 2.333 S
7.362 -2.125 7.000 S
```

## Properties
* E: -2.977 eV/atom
* raw formation energy: -0.44 eV/atom



# 6
First-principles (PBE) data for a relaxed structure of Y2Zn12GaNi3, as listed in Alexandria.

Geometry as POSCAR:
```
Y2Zn12GaNi3
1.0
4.491 2.593 4.192
-4.491 2.593 4.192
0.000 -5.185 4.192
Y Zn Ga Ni
2 12 1 3
Cartesian
0.000 0.000 3.062 Y
0.000 0.000 9.513 Y
-1.880 -1.085 5.454 Zn
0.000 -2.665 4.646 Zn
-2.308 1.332 4.646 Zn
-2.308 -1.332 7.930 Zn
0.000 -2.171 7.122 Zn
-1.880 1.085 7.122 Zn
1.880 -1.085 5.454 Zn
0.000 2.171 5.454 Zn
2.308 1.332 4.646 Zn
2.308 -1.332 7.930 Zn
0.000 2.665 7.930 Zn
1.880 1.085 7.122 Zn
0.000 0.000 0.000 Ga
-4.491 0.000 6.288 Ni
-2.245 1.296 2.096 Ni
2.245 1.296 2.096 Ni
```

## Properties
* E: -2.753 eV/atom



# 7
First-principles (PBE) data for a relaxed structure of Sc3ZnGa2Ru3, as listed in Alexandria.

Geometry as POSCAR:
```
Sc3ZnGa2Ru3
1.0
7.406 0.000 0.000
-3.703 6.414 0.000
0.000 0.000 3.092
Sc Zn Ga Ru
3 1 2 3
Cartesian
-2.646 4.583 0.000 Sc
1.057 1.831 0.000 Sc
5.291 0.000 0.000 Sc
0.000 0.000 1.546 Zn
0.000 4.276 0.000 Ga
3.703 2.138 0.000 Ga
-1.426 2.470 1.546 Ru
2.852 0.000 1.546 Ru
2.277 3.944 1.546 Ru
```

## Properties
* E: -6.345 eV/atom



# 8
First-principles (PBE) data for a relaxed structure of DySbAu2, as listed in Alexandria.

Geometry as POSCAR:
```
DySbAu2
1.0
4.399 0.000 0.000
0.000 4.399 0.000
0.000 0.000 4.553
Dy Sb Au
1 1 2
Cartesian
0.000 0.000 0.000 Dy
2.199 2.199 0.000 Sb
0.000 2.199 2.276 Au
2.199 0.000 2.276 Au
```

## Properties
* energy above the lowest structure with this stoichiometry: 14 meV per atom
* E: -4.411 eV/atom
* raw formation energy: -0.59 eV/atom



# 9
First-principles (PBE) data for a relaxed structure of Zr2BeGa, as listed in Alexandria.

Geometry as POSCAR:
```
Zr2BeGa
1.0
3.066 0.000 0.000
0.000 3.066 0.000
0.000 0.000 7.414
Zr Be Ga
2 1 1
Cartesian
0.000 0.000 1.713 Zr
0.000 0.000 5.701 Zr
1.533 1.533 0.000 Be
1.533 1.533 3.707 Ga
```

## Properties
* E: -6.231 eV/atom



# 10
First-principles (PBE) data for a relaxed structure of LaSmPdAu, as listed in Alexandria.

Geometry as POSCAR:
```
LaSmPdAu
1.0
0.000 3.686 3.686
3.686 0.000 3.686
3.686 3.686 0.000
La Sm Pd Au
1 1 1 1
Cartesian
0.000 0.000 0.000 La
3.686 3.686 3.686 Sm
1.843 1.843 1.843 Pd
5.528 5.528 5.528 Au
```

## Properties
* energy above the lowest structure with this stoichiometry: 66 meV per atom
* E: -5.289 eV/atom



# 11
First-principles (PBE) data for a relaxed structure of SmDy6Ho4, as listed in Alexandria.

Geometry as POSCAR:
```
SmDy6Ho4
1.0
2.847 -4.795 0.000
2.847 4.795 0.000
0.000 0.000 25.575
Sm Dy Ho
2 12 8
Cartesian
2.847 2.963 19.181 Sm
2.847 -2.963 6.394 Sm
2.847 3.465 4.628 Dy
2.847 3.465 8.159 Dy
2.847 2.938 15.414 Dy
2.847 2.938 22.949 Dy
2.847 0.244 6.394 Dy
2.847 0.000 0.000 Dy
2.847 0.000 12.788 Dy
2.847 -0.244 19.181 Dy
2.847 -2.938 2.626 Dy
2.847 -2.938 10.161 Dy
2.847 -3.465 17.416 Dy
2.847 -3.465 20.947 Dy
2.847 3.304 1.083 Ho
2.847 3.304 11.705 Ho
2.847 0.319 3.101 Ho
2.847 0.319 9.686 Ho
2.847 -0.319 15.889 Ho
2.847 -0.319 22.474 Ho
2.847 -3.304 13.870 Ho
2.847 -3.304 24.492 Ho
```

## Properties
* energy above the lowest structure with this stoichiometry: 0 meV per atom
* E: -4.478 eV/atom



# 12
First-principles (PBE) data for a relaxed structure of In2Hg7Br, as listed in Alexandria.

Geometry as POSCAR:
```
In2Hg7Br
1.0
3.555 0.000 0.000
-0.019 8.293 0.000
-0.004 -3.070 10.206
In Hg Br
2 7 1
Cartesian
0.001 0.716 3.946 In
3.531 4.507 6.261 In
-0.004 -1.674 8.576 Hg
-0.009 4.147 0.000 Hg
3.536 6.898 1.631 Hg
-0.008 1.263 7.027 Hg
1.775 1.524 1.153 Hg
1.758 3.699 9.053 Hg
3.541 3.961 3.180 Hg
1.776 -1.535 5.103 Br
```

## Properties
* E: -1.011 eV/atom
* raw formation energy: -0.08 eV/atom



Please write out number 2 again, unchanged.
First-principles (PBE) data for a relaxed structure of Cd2Cu, as listed in Alexandria.

Geometry as POSCAR:
```
Cd2Cu
1.0
-1.509 1.509 12.611
1.509 -1.509 12.611
1.509 1.509 -12.611
Cd Cu
4 2
Cartesian
1.509 0.755 1.333 Cd
1.509 0.755 4.973 Cd
0.000 0.755 7.639 Cd
0.000 0.755 11.278 Cd
1.509 -0.755 9.458 Cu
0.000 2.264 3.153 Cu
```

## Properties
* E: -1.905 eV/atom



Copy entry 5 word for word.
First-principles (PBE) data for a relaxed structure of Rb2CuS, as listed in Alexandria.

Geometry as POSCAR:
```
Rb2CuS
1.0
9.257 -2.154 0.000
9.257 2.154 0.000
-2.528 0.000 9.333
Rb Cu S
4 2 2
Cartesian
2.207 0.004 0.600 Rb
0.943 -0.004 5.266 Rb
15.044 0.004 4.067 Rb
13.780 -0.004 8.733 Rb
7.362 0.029 7.000 Cu
8.625 -0.029 2.333 Cu
8.625 2.125 2.333 S
7.362 -2.125 7.000 S
```

## Properties
* E: -2.977 eV/atom
* raw formation energy: -0.44 eV/atom



Among the records above, which one has the highest E?
In2Hg7Br



What is the E in the twelfth record?
-1.011 eV/atom